# 1
## PmZn2Ag (PBE-GGA)

Data for a geometry-optimized PmZn2Ag structure.

a b c (Å): 4.362 4.362 4.521
angles (deg): 90.00 90.00 90.00
Space group P4/mmm (No. 123)
Asymmetric unit:
Pm  0.000  0.000  0.000 x1
Zn  0.000  0.500  0.500 x2
Ag  0.500  0.500  0.000 x1

Its offset from the most stable computed form is 16.8 kJ/mol of atoms. The formation energy is -49 kJ/mol of formula units. The size of the total moment comes out at 0.00 μB/f.u. As for the density of states at the Fermi level: 0.8009 states/eV per atom.

# 2
## NaGa2Ag (PBE-GGA)

Data for a geometry-optimized NaGa2Ag structure.

a b c (Å): 6.730 6.730 6.730
angles (deg): 90.00 90.00 90.00
Space group Fm-3m (No. 225)
Asymmetric unit:
Na  0.000  0.000  0.000 x4
Ga  0.250  0.250  0.250 x8
Ag  0.000  0.000  0.500 x4

The formation energy is 1 kJ/mol of formula units. The size of the total moment comes out at 0.00 μB/f.u. As for the density of states at the Fermi level: 0.3661 states/eV per atom.

# 3
## GdCdInPt (PBE-GGA)

Data for a geometry-optimized GdCdInPt structure.

a b c (Å): 7.014 7.014 7.014
angles (deg): 90.00 90.00 90.00
Space group F-43m (No. 216)
Asymmetric unit:
Gd  0.000  0.000  0.000 x4
Cd  0.250  0.250  0.250 x4
In  0.000  0.000  0.500 x4
Pt  0.250  0.250  0.750 x4

The formation energy is -229 kJ/mol of formula units. The size of the total moment comes out at 7.13 μB/f.u. As for the density of states at the Fermi level: 0.4512 states/eV per atom.

# 4
## ZrTe2Pb (PBE-GGA)

Data for a geometry-optimized ZrTe2Pb structure.

a b c (Å): 3.757 4.089 15.584
angles (deg): 90.00 90.00 90.00
Space group Imm2 (No. 44)
Asymmetric unit:
Zr  0.000  0.000  0.000 x2
Te  0.000  0.000  0.573 x2
Te  0.000  0.500  0.360 x2
Pb  0.000  0.500  0.736 x2

The calculation puts the raw formation energy at -45.0 kJ per mole of atoms. The size of the total moment comes out at 0.00 μB/f.u. As for the density of states at the Fermi level: 0.4432 states/eV per atom.

# 5
## LiBe (PBE-GGA)

Data for a geometry-optimized LiBe structure.

a b c (Å): 6.741 6.741 6.741
angles (deg): 90.00 90.00 90.00
Space group Pm-3n (No. 223)
Asymmetric unit:
Li  0.000  0.250  0.500 x6
Be  0.000  0.500  0.250 x6

Its offset from the most stable computed form is 125.5 kJ/mol of atoms. The formation energy is 276 kJ/mol of formula units. The size of the total moment comes out at 0.00 μB/f.u. As for the density of states at the Fermi level: 0.8915 states/eV per atom.

# 6
## InHg5Br (PBE-GGA)

Data for a geometry-optimized InHg5Br structure.

a b c (Å): 12.983 6.746 11.224
angles (deg): 90.00 113.78 90.00
Space group C2/c (No. 15)
Asymmetric unit:
In  0.000  0.000  0.000 x4
Hg  0.000  0.302  0.250 x4
Hg  0.154  0.410  0.084 x8
Hg  0.249  0.090  0.609 x8
Br  0.000  0.205  0.750 x4

The calculation puts the raw formation energy at -12.9 kJ per mole of atoms. The size of the total moment comes out at 0.00 μB/f.u. As for the density of states at the Fermi level: 0.0470 states/eV per atom.

# 7
## NaTl6Bi2 (PBE-GGA)

Data for a geometry-optimized NaTl6Bi2 structure.

a b c (Å): 10.608 5.106 10.563
angles (deg): 90.00 102.09 90.00
Space group C2/m (No. 12)
Asymmetric unit:
Na  0.000  0.000  0.000 x2
Tl  0.004  0.000  0.329 x4
Tl  0.159  0.500  0.886 x4
Tl  0.167  0.500  0.549 x4
Bi  0.175  0.500  0.213 x4

Its offset from the most stable computed form is 0.0 kJ/mol of atoms. The formation energy is -69 kJ/mol of formula units. The size of the total moment comes out at 0.00 μB/f.u. As for the density of states at the Fermi level: 0.3615 states/eV per atom.

# 8
## Mn2AgPd9 (PBE-GGA)

Data for a geometry-optimized Mn2AgPd9 structure.

a b c (Å): 3.945 3.945 11.862
angles (deg): 90.00 90.00 90.00
Space group P4/mmm (No. 123)
Asymmetric unit:
Mn  0.000  0.000  0.165 x2
Ag  0.000  0.000  0.500 x1
Pd  0.000  0.500  0.000 x2
Pd  0.000  0.500  0.327 x4
Pd  0.500  0.500  0.163 x2
Pd  0.500  0.500  0.500 x1

The formation energy is -178 kJ/mol of formula units. The size of the total moment comes out at 9.32 μB/f.u. As for the density of states at the Fermi level: 1.0508 states/eV per atom.

# 9
## ErGaNi (PBE-GGA)

Data for a geometry-optimized ErGaNi structure.

a b c (Å): 6.180 6.180 6.180
angles (deg): 90.00 90.00 90.00
Space group F-43m (No. 216)
Asymmetric unit:
Er  0.000  0.000  0.000 x4
Ga  0.000  0.000  0.500 x4
Ni  0.250  0.250  0.750 x4

The formation energy is -127 kJ/mol of formula units. The size of the total moment comes out at 0.00 μB/f.u. As for the density of states at the Fermi level: 1.3215 states/eV per atom.

# 10
## TiV2AuN (PBE-GGA)

Data for a geometry-optimized TiV2AuN structure.

a b c (Å): 3.952 3.952 4.191
angles (deg): 90.00 90.00 90.00
Space group P4/mmm (No. 123)
Asymmetric unit:
Ti  0.000  0.000  0.000 x1
V  0.000  0.500  0.500 x2
Au  0.500  0.500  0.000 x1
N  0.000  0.000  0.500 x1

The calculation puts the raw formation energy at -70.7 kJ per mole of atoms. The size of the total moment comes out at 0.00 μB/f.u. As for the density of states at the Fermi level: 0.7144 states/eV per atom.

# 11
## YEr2Tm2 (PBE-GGA)

Data for a geometry-optimized YEr2Tm2 structure.

a b c (Å): 4.967 6.081 11.109
angles (deg): 89.98 89.96 65.90
Space group P-1 (No. 2)
Asymmetric unit:
Y  0.250  0.001  0.250 x2
Er  0.050  0.399  0.649 x2
Er  0.149  0.201  0.950 x2
Tm  0.351  0.799  0.550 x2
Tm  0.450  0.600  0.850 x2

Its offset from the most stable computed form is 0.0 kJ/mol of atoms. The formation energy is 13 kJ/mol of formula units. The size of the total moment comes out at 0.00 μB/f.u. As for the density of states at the Fermi level: 1.4573 states/eV per atom.

# 12
## Sr2PmAuO5 (PBE-GGA)

Data for a geometry-optimized Sr2PmAuO5 structure.

a b c (Å): 3.588 13.880 11.546
angles (deg): 90.00 90.00 90.00
Space group Cmc2_1 (No. 36)
Asymmetric unit:
Sr  0.000  0.093  0.000 x4
Sr  0.000  0.142  0.606 x4
Pm  0.000  0.212  0.334 x4
Au  0.000  0.476  0.758 x4
O  0.000  0.059  0.396 x4
O  0.000  0.267  0.967 x4
O  0.000  0.331  0.701 x4
O  0.000  0.379  0.297 x4
O  0.000  0.486  0.087 x4

The calculation puts the raw formation energy at -203.4 kJ per mole of atoms. The size of the total moment comes out at 0.00 μB/f.u. As for the density of states at the Fermi level: 0.0023 states/eV per atom.

# 13
## Bi2PtI2 (PBE-GGA)

Data for a geometry-optimized Bi2PtI2 structure.

a b c (Å): 7.298 7.298 6.364
angles (deg): 90.00 90.00 90.00
Space group P4/mbm (No. 127)
Asymmetric unit:
Bi  0.229  0.271  0.000 x4
Pt  0.000  0.000  0.500 x2
I  0.187  0.313  0.500 x4

Its offset from the most stable computed form is 47.5 kJ/mol of atoms. The calculation puts the raw formation energy at 26.3 kJ per mole of atoms. The size of the total moment comes out at 0.00 μB/f.u. As for the density of states at the Fermi level: 0.5463 states/eV per atom.